Here is an optimized crystal structure of Fe2CuNiC from the Alexandria database. Energies are from PBE.

Values from the calculation:
DFT formation energy   144 meV/atom
Calculated total energy   -35.3 eV per formula unit

CIF file:
```
data_Fe2CuNiC
_chemical_formula_sum 'Fe2 Cu1 Ni1 C1'
_cell_length_a 3.747
_cell_length_b 3.747
_cell_length_c 3.789
_cell_angle_alpha 90.00
_cell_angle_beta 90.00
_cell_angle_gamma 90.00
_space_group_name_H-M_alt 'P 4/m m m'
_space_group_IT_number 123
_space_group_name_Hall '-P 4 2'
loop_
_atom_site_label
_atom_site_fract_x
_atom_site_fract_y
_atom_site_fract_z
Fe1 0.000 0.500 0.000
Cu1 0.000 0.000 0.500
Ni1 0.500 0.500 0.500
C1 0.500 0.500 0.000
```